# 1
DFT (PBE) results for crystalline PuHg5Pd6 at its relaxed geometry.

Unit cell a=4.8414 b=6.4911 c=7.2717 alpha=90.00 beta=99.91 gamma=90.00
With the nearest neighbours (Å) after each atom.
Atoms (fractional coordinates):
1 Pd 0.8506 0.7475 0.6625  7 Hg 2.89-2.95, 1 Pu 2.94, 3 Pd 2.98-3.22
2 Hg 0.3570 0.0000 0.6690  8 Pd 2.90-2.95, 3 Hg 3.02-3.25, 1 Pu 3.20
3 Pd 0.1494 0.7475 0.3375  7 Hg 2.89-2.95, 1 Pu 2.94, 3 Pd 2.98-3.22
4 Hg 0.0000 0.5000 0.0000  8 Pd 2.87-2.92, 2 Hg 3.18
5 Hg 0.6430 0.0000 0.3310  8 Pd 2.90-2.95, 3 Hg 3.02-3.25, 1 Pu 3.20
6 Pd 0.8506 0.2525 0.6625  7 Hg 2.89-2.95, 1 Pu 2.94, 3 Pd 2.98-3.22
7 Hg 0.6528 0.5000 0.3329  8 Pd 2.86-2.92, 2 Hg 3.05-3.18
8 Pu 0.0000 0.0000 0.0000  8 Pd 2.94-2.96, 4 Hg 3.20-3.25
9 Pd 0.5000 0.2615 0.0000  6 Hg 2.86-2.93, 2 Pu 2.96, 1 Pd 3.10
10 Pd 0.5000 0.7385 0.0000  6 Hg 2.86-2.93, 2 Pu 2.96, 1 Pd 3.10
11 Pd 0.1494 0.2525 0.3375  7 Hg 2.89-2.95, 1 Pu 2.94, 3 Pd 2.98-3.22
12 Hg 0.3472 0.5000 0.6671  8 Pd 2.86-2.92, 2 Hg 3.05-3.18

Results
The density of states at the Fermi level comes out at 16.87 states/eV/cell. As for the formation energy: -0.219 eV per atom. Its density is 13.91 g/cm³. The crystal system is monoclinic.



# 2
DFT (PBE) results for crystalline BaMn2Al at its relaxed geometry.

Unit cell a=7.9423 b=5.0833 c=3.3216 alpha=90.18 beta=65.03 gamma=130.04
With the nearest neighbours (Å) after each atom.
Atoms (fractional coordinates):
1 Mn 0.0000 0.0000 0.0000  4 Al 3.03-3.04, 4 Ba 3.03-3.04, 2 Mn 3.32
2 Al 0.0000 0.5000 0.5000  8 Mn 3.03-3.04, 2 Al 3.32
3 Ba 0.5000 0.5000 0.0000  8 Mn 3.03-3.04, 2 Ba 3.32
4 Mn 0.5000 0.0000 0.5000  4 Ba 3.03-3.04, 4 Al 3.03-3.04, 2 Mn 3.32

Results
The density of states at the Fermi level comes out at 3.54 states/eV/cell. As for the formation energy: 0.736 eV per atom. Its density is 5.30 g/cm³. The crystal system is monoclinic.



# 3
DFT (PBE) results for crystalline CoRu2Se at its relaxed geometry.

Unit cell a=4.3141 b=4.3141 c=4.3141 alpha=60.00 beta=60.00 gamma=60.00
With the nearest neighbours (Å) after each atom.
Atoms (fractional coordinates):
1 Ru 0.0000 0.0000 0.0000  4 Ru 2.64, 4 Se 2.64
2 Co 0.5000 0.5000 0.5000  4 Se 2.64, 4 Ru 2.64
3 Ru 0.2500 0.2500 0.2500  4 Co 2.64, 4 Ru 2.64
4 Se 0.7500 0.7500 0.7500  4 Co 2.64, 4 Ru 2.64

Results
As for the raw formation energy: 502 meV per atom. The density of states at the Fermi level comes out at 5.35 states/eV/cell. Its density is 9.94 g/cm³. The crystal system is cubic.



# 4
DFT (PBE) results for crystalline La4PtBr at its relaxed geometry.

Unit cell a=6.2984 b=6.2984 c=6.2984 alpha=60.00 beta=60.00 gamma=60.00
With the nearest neighbours (Å) after each atom.
Atoms (fractional coordinates):
1 Br 0.0000 0.0000 0.0000  12 La 3.69, 4 Pt 3.86
2 La 0.3749 0.3749 0.3749  6 La 3.15
3 La 0.3749 0.3749 0.8753  6 La 3.15
4 La 0.3749 0.8753 0.3749  6 La 3.15
5 La 0.8753 0.3749 0.3749  6 La 3.15
6 Pt 0.7500 0.7500 0.7500  12 La 3.69, 4 Br 3.86

Results
As for the raw formation energy: 108 meV per atom. The density of states at the Fermi level comes out at 7.80 states/eV/cell. Its density is 7.81 g/cm³. The crystal system is cubic.



# 5
DFT (PBE) results for crystalline Pm3PaTe6 at its relaxed geometry.

Unit cell a=7.6858 b=9.7177 c=9.7177 alpha=101.96 beta=90.00 gamma=90.00
With the nearest neighbours (Å) after each atom.
Atoms (fractional coordinates):
1 Pa 0.0012 0.1624 0.8376  5 Te 3.02-3.16
2 Te 0.2044 0.4347 0.9035  1 Pa 3.02, 3 Pm 3.17-3.31
3 Pa 0.5012 0.8376 0.1624  5 Te 3.02-3.16
4 Pm 0.8685 0.5931 0.4069  7 Te 3.20-3.30
5 Te 0.7044 0.9035 0.4347  1 Pa 3.02, 3 Pm 3.17-3.31
6 Te 0.6726 0.6276 0.7033  4 Pm 3.13-3.21
7 Te 0.2540 0.0047 0.9953  2 Pa 3.07-3.16, 4 Pm 3.23-3.44
8 Te 0.1322 0.7653 0.2347  1 Pa 3.04, 3 Pm 3.22-3.30
9 Te 0.6726 0.2967 0.3724  4 Pm 3.13-3.21
10 Pm 0.4878 0.9173 0.7147  7 Te 3.13-3.44
11 Pm 0.3685 0.4069 0.5931  7 Te 3.20-3.30
12 Te 0.2044 0.0965 0.5653  1 Pa 3.02, 3 Pm 3.17-3.31
13 Te 0.7044 0.5653 0.0965  1 Pa 3.02, 3 Pm 3.17-3.31
14 Te 0.6322 0.2347 0.7653  1 Pa 3.04, 3 Pm 3.22-3.30
15 Pm 0.9878 0.0827 0.2853  7 Te 3.13-3.44
16 Te 0.1726 0.3724 0.2967  4 Pm 3.13-3.21
17 Pm 0.9878 0.7147 0.9173  7 Te 3.13-3.44
18 Te 0.1726 0.7033 0.6276  4 Pm 3.13-3.21
19 Te 0.7540 0.9953 0.0047  2 Pa 3.07-3.16, 4 Pm 3.23-3.44
20 Pm 0.4878 0.2853 0.0827  7 Te 3.13-3.44

Results
As for the raw formation energy: -1138 meV per atom. The density of states at the Fermi level comes out at 15.17 states/eV/cell. Its density is 6.70 g/cm³. The crystal system is orthorhombic.



# 6
DFT (PBE) results for crystalline LaPRu4 at its relaxed geometry.

Unit cell a=5.2873 b=5.2873 c=5.2873 alpha=60.00 beta=60.00 gamma=60.00
With the nearest neighbours (Å) after each atom.
Atoms (fractional coordinates):
1 Ru 0.1203 0.6266 0.6266  6 Ru 2.61-2.68
2 Ru 0.6266 0.6266 0.1203  6 Ru 2.61-2.68
3 Ru 0.6266 0.1203 0.6266  6 Ru 2.61-2.68
4 Ru 0.6266 0.6266 0.6266  6 Ru 2.61-2.68
5 P 0.0000 0.0000 0.0000  12 Ru 3.10, 4 La 3.24
6 La 0.2500 0.2500 0.2500  12 Ru 3.10, 4 P 3.24

Results
The density of states at the Fermi level comes out at 9.82 states/eV/cell. As for the formation energy: 0.334 eV per atom. Its density is 9.12 g/cm³. The crystal system is cubic.



# 7
DFT (PBE) results for crystalline SmRuBr at its relaxed geometry.

Unit cell a=4.2005 b=4.2005 c=11.6920 alpha=79.65 beta=79.65 gamma=60.00
With the nearest neighbours (Å) after each atom.
Atoms (fractional coordinates):
1 Sm 0.4410 0.4410 0.6769  3 Br 3.06, 6 Ru 3.10-3.21
2 Br 0.7202 0.7202 0.8395  3 Sm 3.06
3 Sm 0.5590 0.5590 0.3231  3 Br 3.06, 6 Ru 3.10-3.21
4 Ru 0.1642 0.1642 0.5075  3 Ru 2.43
5 Br 0.2798 0.2798 0.1605  3 Sm 3.06
6 Ru 0.8358 0.8358 0.4925  3 Ru 2.43

Results
As for the raw formation energy: -957 meV per atom. The density of states at the Fermi level comes out at 3.83 states/eV/cell. Its density is 6.30 g/cm³. The crystal system is trigonal.



# 8
DFT (PBE) results for crystalline Zr3TaCd at its relaxed geometry.

Unit cell a=5.1423 b=5.1423 c=5.1423 alpha=90.00 beta=90.00 gamma=90.00
With the nearest neighbours (Å) after each atom.
Atoms (fractional coordinates):
1 Cd 0.0000 0.0000 0.0000  6 Zr 2.57
2 Ta 0.5000 0.5000 0.5000  12 Zr 3.64
3 Zr 0.0000 0.0000 0.5000  2 Cd 2.57
4 Zr 0.5000 0.0000 0.0000  2 Cd 2.57
5 Zr 0.0000 0.5000 0.0000  2 Cd 2.57

Results
The density of states at the Fermi level comes out at 8.29 states/eV/cell. As for the formation energy: 1.515 eV per atom. Its density is 6.92 g/cm³. The crystal system is cubic.



# 9
DFT (PBE) results for crystalline TbNdTm4 at its relaxed geometry.

Unit cell a=6.4641 b=8.8408 c=8.4840 alpha=112.09 beta=100.53 gamma=112.36
With the nearest neighbours (Å) after each atom.
Atoms (fractional coordinates):
1 Tm 0.7480 0.7108 0.6054  5 Tm 3.27-3.64, 2 Nd 3.31-3.45, 1 Tb 3.59
2 Nd 0.2540 0.0040 0.0080  2 Nd 3.23, 8 Tm 3.31-3.54
3 Tb 0.6630 0.4130 0.8261  10 Tm 3.48-3.89
4 Tm 0.8116 0.4290 0.2601  3 Tm 3.27-3.35, 2 Nd 3.45-3.54, 2 Tb 3.48-3.57
5 Nd 0.7460 0.9960 0.9920  2 Nd 3.23, 8 Tm 3.31-3.54
6 Tm 0.3574 0.8946 0.6054  5 Tm 3.27-3.64, 2 Nd 3.31-3.45, 1 Tb 3.59
7 Tm 0.0515 0.1689 0.7399  3 Tm 3.27-3.35, 2 Nd 3.45-3.54, 2 Tb 3.48-3.57
8 Tb 0.3370 0.5870 0.1739  10 Tm 3.48-3.89
9 Tm 0.1884 0.5710 0.7399  3 Tm 3.27-3.35, 2 Nd 3.45-3.54, 2 Tb 3.48-3.57
10 Tm 0.2520 0.2892 0.3946  5 Tm 3.27-3.64, 2 Nd 3.31-3.45, 1 Tb 3.59
11 Tm 0.9485 0.8311 0.2601  3 Tm 3.27-3.35, 2 Nd 3.45-3.54, 2 Tb 3.48-3.57
12 Tm 0.6426 0.1054 0.3946  5 Tm 3.27-3.64, 2 Nd 3.31-3.45, 1 Tb 3.59

Results
The density of states at the Fermi level comes out at 20.83 states/eV/cell. As for the formation energy: 0.161 eV per atom. Its density is 8.46 g/cm³. The crystal system is monoclinic.



# 10
DFT (PBE) results for crystalline Ac2PuGe at its relaxed geometry.

Unit cell a=4.6109 b=5.2212 c=5.2212 alpha=90.00 beta=90.00 gamma=90.00
With the nearest neighbours (Å) after each atom.
Atoms (fractional coordinates):
1 Pu 0.5000 0.0000 0.0000  8 Ac 3.48, 4 Ge 3.69
2 Ac 0.0000 0.5000 0.0000  4 Pu 3.48, 4 Ge 3.48, 4 Ac 3.69
3 Ac 0.0000 0.0000 0.5000  4 Ge 3.48, 4 Pu 3.48, 4 Ac 3.69
4 Ge 0.5000 0.5000 0.5000  8 Ac 3.48, 4 Pu 3.69

Results
The density of states at the Fermi level comes out at 11.51 states/eV/cell. As for the formation energy: -0.106 eV per atom. Its density is 10.18 g/cm³. The crystal system is tetragonal.



# 11
DFT (PBE) results for crystalline ScCdFe2 at its relaxed geometry.

Unit cell a=4.9764 b=4.9764 c=4.9764 alpha=133.24 beta=133.24 gamma=68.28
With the nearest neighbours (Å) after each atom.
Atoms (fractional coordinates):
1 Sc 0.5000 0.5000 0.0000  8 Fe 2.79-2.85, 4 Cd 2.85
2 Fe 0.2500 0.7500 0.5000  4 Cd 2.79, 4 Fe 2.85, 4 Sc 2.85
3 Cd 0.7500 0.2500 0.5000  8 Fe 2.79-2.85, 4 Sc 2.85
4 Fe 0.0000 0.0000 0.0000  4 Sc 2.79, 4 Cd 2.85, 4 Fe 2.85

Results
The density of states at the Fermi level comes out at 4.28 states/eV/cell. As for the formation energy: 0.132 eV per atom. Its density is 6.95 g/cm³. The crystal system is tetragonal.



# 12
DFT (PBE) results for crystalline HfBeF2 at its relaxed geometry.

Unit cell a=7.9252 b=7.9252 c=7.9252 alpha=20.61 beta=20.61 gamma=20.61
With the nearest neighbours (Å) after each atom.
Atoms (fractional coordinates):
1 Hf 0.5000 0.5000 0.5000  6 F 2.28
2 F 0.9016 0.9016 0.9016  3 Hf 2.28, 1 Be 2.29
3 Be 0.0000 0.0000 0.0000  2 F 2.29
4 F 0.0984 0.0984 0.0984  3 Hf 2.28, 1 Be 2.29

Results
As for the raw formation energy: -1490 meV per atom. The density of states at the Fermi level comes out at 2.59 states/eV/cell. Its density is 6.94 g/cm³. The crystal system is trigonal.



- Which formula does entry 7 have?
  SmRuBr



Copy entry 8 word for word.
DFT (PBE) results for crystalline Zr3TaCd at its relaxed geometry.

Unit cell a=5.1423 b=5.1423 c=5.1423 alpha=90.00 beta=90.00 gamma=90.00
With the nearest neighbours (Å) after each atom.
Atoms (fractional coordinates):
1 Cd 0.0000 0.0000 0.0000  6 Zr 2.57
2 Ta 0.5000 0.5000 0.5000  12 Zr 3.64
3 Zr 0.0000 0.0000 0.5000  2 Cd 2.57
4 Zr 0.5000 0.0000 0.0000  2 Cd 2.57
5 Zr 0.0000 0.5000 0.0000  2 Cd 2.57

Results
The density of states at the Fermi level comes out at 8.29 states/eV/cell. As for the formation energy: 1.515 eV per atom. Its density is 6.92 g/cm³. The crystal system is cubic.



- What is the formula in the sixth record?
  LaPRu4